Computed, not measured: an optimized crystal structure of RbNiAg2Cl8 at the PBE level of DFT.

The structure in CIF format:
```
data_RbNiAg2Cl8
_chemical_formula_sum 'Rb1 Ni1 Ag2 Cl8'
_symmetry_space_group_name_H-M 'P -1'
_symmetry_Int_Tables_number 2
_cell_length_a 5.8019
_cell_length_b 5.9464
_cell_length_c 10.3523
_cell_angle_alpha 77.42
_cell_angle_beta 89.58
_cell_angle_gamma 85.38
loop_
_symmetry_equiv_pos_as_xyz
'x,y,z'
'-x,-y,-z'
loop_
_atom_site_label
_atom_site_type_symbol
_atom_site_fract_x
_atom_site_fract_y
_atom_site_fract_z
_atom_site_occupancy
Rb1 Rb 0.0000 0.0000 0.0000 1
Ni1 Ni 0.0000 0.0000 0.5000 1
Ag1 Ag 0.4509 0.5086 0.3187 1
Cl1 Cl 0.1842 0.8581 0.3327 1
Cl2 Cl 0.1859 0.7529 0.6764 1
Cl3 Cl 0.2751 0.2528 0.5054 1
Cl4 Cl 0.4635 0.2856 0.8985 1
```

* formation energy without anion corrections: -0.621 eV per atom
* calculated volume: 29.0 Å³ per atom

Computed, not measured: an optimized crystal structure of Dy2HoTh at the PBE level of DFT.

The structure in CIF format:
```
data_Dy2HoTh
_chemical_formula_sum 'Dy2 Ho1 Th1'
_symmetry_space_group_name_H-M 'P 4/m m m'
_symmetry_Int_Tables_number 123
_symmetry_space_group_name_Hall '-P 4 2'
_cell_length_a 5.0091
_cell_length_b 5.0091
_cell_length_c 5.0194
_cell_angle_alpha 90.00
_cell_angle_beta 90.00
_cell_angle_gamma 90.00
loop_
_atom_site_label
_atom_site_type_symbol
_atom_site_fract_x
_atom_site_fract_y
_atom_site_fract_z
_atom_site_occupancy
Dy1 Dy 0.0000 0.5000 0.0000 1
Ho1 Ho 0.0000 0.0000 0.5000 1
Th1 Th 0.5000 0.5000 0.5000 1
```

* energy relative to the elements: 39 meV/atom
* energy above the most stable polymorph in this dataset: 0.015 eV/atom
* calculated volume: 31.5 Å³ per atom

Computed, not measured: an optimized crystal structure of BaHg3Ir at the PBE level of DFT.

The structure in CIF format:
```
data_BaHg3Ir
_chemical_formula_sum 'Ba1 Hg3 Ir1'
_symmetry_space_group_name_H-M 'P m -3 m'
_symmetry_Int_Tables_number 221
_symmetry_space_group_name_Hall '-P 4 2 3'
_cell_length_a 6.4928
_cell_length_b 6.4928
_cell_length_c 6.4928
_cell_angle_alpha 90.00
_cell_angle_beta 90.00
_cell_angle_gamma 90.00
loop_
_atom_site_label
_atom_site_type_symbol
_atom_site_fract_x
_atom_site_fract_y
_atom_site_fract_z
_atom_site_occupancy
Ba1 Ba 0.0000 0.0000 0.0000 1
Hg1 Hg 0.0000 0.0000 0.5000 1
Ir1 Ir 0.5000 0.5000 0.5000 1
```

* energy relative to the elements: 1348 meV/atom
* energy above the most stable polymorph in this dataset: 1.534 eV/atom
* calculated volume: 54.7 Å³ per atom

Computed, not measured: an optimized crystal structure of ScTa3Zn at the PBE level of DFT.

The structure in CIF format:
```
data_ScTa3Zn
_chemical_formula_sum 'Sc1 Ta3 Zn1'
_symmetry_space_group_name_H-M 'P m -3 m'
_symmetry_Int_Tables_number 221
_symmetry_space_group_name_Hall '-P 4 2 3'
_cell_length_a 4.7423
_cell_length_b 4.7423
_cell_length_c 4.7423
_cell_angle_alpha 90.00
_cell_angle_beta 90.00
_cell_angle_gamma 90.00
loop_
_atom_site_label
_atom_site_type_symbol
_atom_site_fract_x
_atom_site_fract_y
_atom_site_fract_z
_atom_site_occupancy
Sc1 Sc 0.0000 0.0000 0.0000 1
Ta1 Ta 0.0000 0.0000 0.5000 1
Zn1 Zn 0.5000 0.5000 0.5000 1
```

* energy relative to the elements: 1925 meV/atom
* energy above the most stable polymorph in this dataset: 0.795 eV/atom
* calculated volume: 21.3 Å³ per atom

Computed, not measured: an optimized crystal structure of Na4SrAg3F12 at the PBE level of DFT.

The structure in CIF format:
```
data_Na4SrAg3F12
_chemical_formula_sum 'Na8 Sr2 Ag6 F24'
_symmetry_space_group_name_H-M 'I m -3'
_symmetry_Int_Tables_number 204
_symmetry_space_group_name_Hall '-I 2 2 3'
_cell_length_a 8.3360
_cell_length_b 8.3360
_cell_length_c 8.3360
_cell_angle_alpha 90.00
_cell_angle_beta 90.00
_cell_angle_gamma 90.00
loop_
_atom_site_label
_atom_site_type_symbol
_atom_site_fract_x
_atom_site_fract_y
_atom_site_fract_z
_atom_site_occupancy
Na1 Na 0.2500 0.2500 0.2500 1
Sr1 Sr 0.0000 0.0000 0.0000 1
Ag1 Ag 0.0000 0.0000 0.5000 1
F1 F 0.0000 0.1609 0.3012 1
```

* formation energy without anion corrections: -2.185 eV per atom
* calculated volume: 14.5 Å³ per atom

Computed, not measured: an optimized crystal structure of BaNi2Pb at the PBE level of DFT.

The structure in CIF format:
```
data_BaNi2Pb
_chemical_formula_sum 'Ba2 Ni4 Pb2'
_symmetry_space_group_name_H-M 'I m m m'
_symmetry_Int_Tables_number 71
_symmetry_space_group_name_Hall '-I 2 2'
_cell_length_a 4.7720
_cell_length_b 5.7815
_cell_length_c 7.1130
_cell_angle_alpha 90.00
_cell_angle_beta 90.00
_cell_angle_gamma 90.00
loop_
_atom_site_label
_atom_site_type_symbol
_atom_site_fract_x
_atom_site_fract_y
_atom_site_fract_z
_atom_site_occupancy
Ba1 Ba 0.0000 0.0000 0.0000 1
Ni1 Ni 0.0000 0.5000 0.1693 1
Pb1 Pb 0.0000 0.0000 0.5000 1
```

* energy relative to the elements: 185 meV/atom
* energy above the most stable polymorph in this dataset: 0.277 eV/atom
* calculated volume: 24.5 Å³ per atom

Computed, not measured: an optimized crystal structure of Si2RhCl at the PBE level of DFT.

The structure in CIF format:
```
data_Si2RhCl
_chemical_formula_sum 'Si2 Rh1 Cl1'
_symmetry_space_group_name_H-M 'P 1 2/m 1'
_symmetry_Int_Tables_number 10
_cell_length_a 4.2348
_cell_length_b 2.9342
_cell_length_c 5.0121
_cell_angle_alpha 90.00
_cell_angle_beta 90.13
_cell_angle_gamma 90.00
loop_
_symmetry_equiv_pos_as_xyz
'x,y,z'
'-x,-y,-z'
'-x,y,-z'
'x,-y,z'
loop_
_atom_site_label
_atom_site_type_symbol
_atom_site_fract_x
_atom_site_fract_y
_atom_site_fract_z
_atom_site_occupancy
Si1 Si 0.0000 0.0000 0.0000 1
Si2 Si 0.5000 0.5000 0.5000 1
Rh1 Rh 0.0000 0.0000 0.5000 1
Cl1 Cl 0.5000 0.5000 0.0000 1
```

* formation energy without anion corrections: -0.065 eV per atom
* energy above the most stable polymorph in this dataset: 0.051 eV/atom
* calculated volume: 15.6 Å³ per atom

Computed, not measured: an optimized crystal structure of Pm2NdTmBi4 at the PBE level of DFT.

The structure in CIF format:
```
data_Pm2NdTmBi4
_chemical_formula_sum 'Pm2 Nd1 Tm1 Bi4'
_symmetry_space_group_name_H-M 'P 1 2/m 1'
_symmetry_Int_Tables_number 10
_cell_length_a 7.8819
_cell_length_b 4.5552
_cell_length_c 7.8839
_cell_angle_alpha 90.00
_cell_angle_beta 109.49
_cell_angle_gamma 90.00
loop_
_symmetry_equiv_pos_as_xyz
'x,y,z'
'-x,-y,-z'
'-x,y,-z'
'x,-y,z'
loop_
_atom_site_label
_atom_site_type_symbol
_atom_site_fract_x
_atom_site_fract_y
_atom_site_fract_z
_atom_site_occupancy
Pm1 Pm 0.0000 0.0000 0.0000 1
Pm2 Pm 0.5000 0.5000 0.0000 1
Nd1 Nd 0.0000 0.5000 0.5000 1
Tm1 Tm 0.5000 0.0000 0.5000 1
Bi1 Bi 0.2547 0.0000 0.7479 1
Bi2 Bi 0.2574 0.5000 0.2561 1
```

* energy relative to the elements: -896 meV/atom
* calculated volume: 33.4 Å³ per atom